# 1
VASP calculation (GGA-PBE) on crystalline BaAc5Bi6 at its relaxed geometry.

Cell lengths 8.509, 14.737, 8.511 Å; angles 90.00, 109.46, 90.00 degrees
Space group C2/m (No. 12)
Symmetry-distinct sites (fractional):
Ba 0.000 0.000 0.000 (multiplicity 2)
Ac 0.000 0.164 0.500 (multiplicity 4)
Ac 0.000 0.332 0.000 (multiplicity 4)
Ac 0.000 0.500 0.500 (multiplicity 2)
Bi 0.243 0.500 0.253 (multiplicity 4)
Bi 0.244 0.330 0.745 (multiplicity 8)

Calculated volume   41.9 A^3/atom
Total DFT energy (no corrections)   -4.77 eV/atom
Formation energy from the elements   -954 meV per atom

# 2
VASP calculation (GGA-PBE) on crystalline BaAcBi4 at its relaxed geometry.

Cell lengths 9.553, 9.553, 9.553 Å; angles 90.00, 90.00, 90.00 degrees
Space group F-43m (No. 216)
Symmetry-distinct sites (fractional):
Ba 0.000 0.000 0.000 (multiplicity 4)
Ac 0.250 0.250 0.750 (multiplicity 4)
Bi 0.125 0.125 0.375 (multiplicity 16)

Calculated volume   36.3 A^3/atom
Total DFT energy (no corrections)   -4.05 eV/atom
Formation energy from the elements   -461 meV per atom

# 3
VASP calculation (GGA-PBE) on crystalline Ba3AcBi6 at its relaxed geometry.

Cell lengths 14.3586, 14.3586, 13.7830 Å; angles 90.00, 90.00, 120.00 degrees
Space group R-3c (No. 167, hexagonal axes)
Symmetry-distinct sites (fractional):
Ba 0.0000 0.4288 0.2500 (multiplicity 18)
Ac 0.0000 0.0000 0.0000 (multiplicity 6)
Bi 0.0738 0.2161 0.3424 (multiplicity 36)

Calculated volume   41.0 A^3/atom
Total DFT energy (no corrections)   -3.91 eV/atom
Formation energy from the elements   -593 meV per atom

# 4
VASP calculation (GGA-PBE) on crystalline Ba2AcCeBi4 at its relaxed geometry.

Cell lengths 8.430, 4.870, 8.605 Å; angles 90.00, 109.12, 90.00 degrees
Space group P2/m (No. 10)
Symmetry-distinct sites (fractional):
Ba 0.000 0.000 0.000 (multiplicity 1)
Ba 0.500 0.500 0.000 (multiplicity 1)
Ac 0.000 0.500 0.500 (multiplicity 1)
Ce 0.500 0.000 0.500 (multiplicity 1)
Bi 0.257 0.000 0.725 (multiplicity 2)
Bi 0.276 0.500 0.284 (multiplicity 2)

Calculated volume   41.7 A^3/atom
Total DFT energy (no corrections)   -4.50 eV/atom
Formation energy from the elements   -826 meV per atom

# 5
VASP calculation (GGA-PBE) on crystalline BaAc2CeBi4 at its relaxed geometry.

Cell lengths 8.375, 4.841, 8.434 Å; angles 90.00, 109.30, 90.00 degrees
Space group P2/m (No. 10)
Symmetry-distinct sites (fractional):
Ba 0.000 0.000 0.000 (multiplicity 1)
Ac 0.500 0.000 0.500 (multiplicity 1)
Ac 0.500 0.500 0.000 (multiplicity 1)
Ce 0.000 0.500 0.500 (multiplicity 1)
Bi 0.239 0.000 0.733 (multiplicity 2)
Bi 0.248 0.500 0.266 (multiplicity 2)

Calculated volume   40.3 A^3/atom
Total DFT energy (no corrections)   -4.82 eV/atom
Formation energy from the elements   -872 meV per atom

# 6
VASP calculation (GGA-PBE) on crystalline BaAcBiCl at its relaxed geometry.

Cell lengths 5.314, 5.314, 11.282 Å; angles 90.00, 90.00, 90.00 degrees
Space group P4/nmm (No. 129, origin choice 2)
Symmetry-distinct sites (fractional):
Ba 0.250 0.250 0.154 (multiplicity 2)
Ac 0.250 0.750 0.500 (multiplicity 2)
Bi 0.250 0.250 0.696 (multiplicity 2)
Cl 0.250 0.750 0.000 (multiplicity 2)

Excess energy over the best structure of this formula in the dataset   0.00 eV/f.u.
ΔE_f (raw)   -1.324 eV/atom
Calculated volume   39.8 A^3/atom
Total DFT energy (no corrections)   -4.26 eV/atom

# 7
VASP calculation (GGA-PBE) on crystalline BaAcBiCl at its relaxed geometry.

Cell lengths 8.200, 8.200, 8.200 Å; angles 90.00, 90.00, 90.00 degrees
Space group F-43m (No. 216)
Symmetry-distinct sites (fractional):
Ba 0.000 0.000 0.000 (multiplicity 4)
Ac 0.000 0.000 0.500 (multiplicity 4)
Bi 0.250 0.250 0.750 (multiplicity 4)
Cl 0.250 0.250 0.250 (multiplicity 4)

Excess energy over the best structure of this formula in the dataset   0.45 eV/f.u.
ΔE_f (raw)   -1.210 eV/atom
Calculated volume   34.5 A^3/atom
Total DFT energy (no corrections)   -4.15 eV/atom

# 8
VASP calculation (GGA-PBE) on crystalline BaAcCuBi at its relaxed geometry.

Cell lengths 8.194, 8.194, 8.194 Å; angles 90.00, 90.00, 90.00 degrees
Space group F-43m (No. 216)
Symmetry-distinct sites (fractional):
Ba 0.000 0.000 0.000 (multiplicity 4)
Ac 0.000 0.000 0.500 (multiplicity 4)
Cu 0.250 0.250 0.250 (multiplicity 4)
Bi 0.250 0.250 0.750 (multiplicity 4)

Calculated volume   34.4 A^3/atom
Total DFT energy (no corrections)   -3.86 eV/atom
Formation energy from the elements   -357 meV per atom